Record 1
# PuH2Br | Alexandria | PBE | optimized geometry
# - Relative energy among the computed polymorphs: 0.0284 eV per atom
data_PuH2Br
_cell_length_a 3.789
_cell_length_b 3.789
_cell_length_c 5.273
_cell_angle_alpha 68.95
_cell_angle_beta 68.95
_cell_angle_gamma 60.00
_space_group_name_H-M_alt 'P 1'
_space_group_IT_number 1
loop_
_space_group_symop_operation_xyz
'x,y,z'
loop_
_atom_site_label
_atom_site_type_symbol
_atom_site_fract_x
_atom_site_fract_y
_atom_site_fract_z
H1 H 0.305 0.305 0.084
Pu1 Pu 0.000 0.000 0.000
Br1 Br 0.500 0.500 0.500
H2 H 0.695 0.695 0.916

---

Record 2
# Pu2H2Br5 | Alexandria | PBE | optimized geometry
# - Electronic total energy: -5.485 eV/atom
data_Pu2H2Br5
_cell_length_a 8.152
_cell_length_b 8.152
_cell_length_c 8.813
_cell_angle_alpha 103.05
_cell_angle_beta 103.05
_cell_angle_gamma 120.79
_space_group_name_H-M_alt 'P 1'
_space_group_IT_number 1
loop_
_space_group_symop_operation_xyz
'x,y,z'
loop_
_atom_site_label
_atom_site_type_symbol
_atom_site_fract_x
_atom_site_fract_y
_atom_site_fract_z
H1 H 0.721 0.721 0.443
Br1 Br 0.377 0.877 0.753
Br2 Br 0.877 0.377 0.753
Br3 Br 0.123 0.623 0.247
Br4 Br 0.000 0.000 0.000
Pu1 Pu 0.800 0.200 0.000
Pu2 Pu 0.200 0.800 0.000
H2 H 0.279 0.279 0.557
Br5 Br 0.623 0.123 0.247

---

Record 3
# PuH2Br4 | Alexandria | PBE | optimized geometry
# - Electronic total energy: -4.576 eV/atom
data_PuH2Br4
_cell_length_a 3.742
_cell_length_b 7.088
_cell_length_c 8.076
_cell_angle_alpha 93.90
_cell_angle_beta 103.40
_cell_angle_gamma 90.00
_space_group_name_H-M_alt 'P 1'
_space_group_IT_number 1
loop_
_space_group_symop_operation_xyz
'x,y,z'
loop_
_atom_site_label
_atom_site_type_symbol
_atom_site_fract_x
_atom_site_fract_y
_atom_site_fract_z
H1 H 0.657 0.785 0.313
Br1 Br 0.842 0.216 0.685
Br2 Br 0.158 0.784 0.315
Br3 Br 0.422 0.740 0.843
Br4 Br 0.578 0.260 0.157
H2 H 0.343 0.215 0.687
Pu1 Pu 0.000 0.000 0.000

---

Record 4
# PuHBr2 | Alexandria | PBE | optimized geometry
# - Electronic total energy: -5.757 eV/atom
data_PuHBr2
_cell_length_a 3.849
_cell_length_b 3.854
_cell_length_c 8.026
_cell_angle_alpha 76.17
_cell_angle_beta 90.22
_cell_angle_gamma 120.02
_space_group_name_H-M_alt 'P 1'
_space_group_IT_number 1
loop_
_space_group_symop_operation_xyz
'x,y,z'
loop_
_atom_site_label
_atom_site_type_symbol
_atom_site_fract_x
_atom_site_fract_y
_atom_site_fract_z
Br1 Br 0.164 0.082 0.820
Pu1 Pu 0.584 0.925 0.552
Br2 Br 0.004 0.768 0.285
H1 H 0.085 0.925 0.052

---

Number 1: D(E_F) 5.98 states/eV per cell. Number 2: D(E_F) 28.35 states/eV per cell. Number 3: D(E_F) 14.39 states/eV per cell. Number 4: D(E_F) 6.47 states/eV per cell.